Entry 1:
Here is a PBEsol-optimized structure of As2PAu from Alexandria via LeMat-Bulk. Energies are from meta-GGA SCAN.

POSCAR file:
```
As2PAu
1.0
2.8442 0.0018 0.0032
-0.9088 5.2606 0.0061
-0.9088 -2.5869 4.5806
As Au P
2 1 1
direct
0.0000 0.0000 0.5000
0.0000 0.5000 0.0000
0.5000 0.5000 0.5000
0.5000 0.0000 0.0000
```

**Volume**: 69 Å³ per cell
**D(E_F)**: 2.1 states/eV/cell
**Raw total energy**: -29.434 eV per atom
**DFT formation energy**: 53 kJ/mol of atoms
**Space group**: C2/m (12)

Entry 2:
Here is a PBEsol-optimized structure of As2PAu from Alexandria via LeMat-Bulk. Energies are from meta-GGA SCAN.

POSCAR file:
```
As2PAu
1.0
2.6593 0.0000 0.0000
0.0000 5.2146 0.0000
0.0000 0.0000 5.2150
As Au P
2 1 1
direct
0.5000 0.0000 0.1251
0.5000 0.5000 0.6249
0.5000 0.0000 0.6251
0.5000 0.5000 0.1248
```

**Volume**: 72 Å³ per cell
**D(E_F)**: 1.4 states/eV/cell
**Raw total energy**: -29.871 eV per atom
**DFT formation energy**: 11 kJ/mol of atoms
**Space group**: P4/mmm (123)

Entry 3:
Here is a PBEsol-optimized structure of As2PAu from Alexandria via LeMat-Bulk. Energies are from meta-GGA SCAN.

POSCAR file:
```
As2PAu
1.0
-1.8018 -0.9255 -2.8406
-2.2591 -2.4312 2.2251
-1.5625 5.4660 1.3526
As Au P
2 1 1
direct
0.8072 0.7348 0.6143
0.1928 0.2652 0.3857
0.0000 0.5000 0.0000
0.5000 0.0000 0.0000
```

**Volume**: 74 Å³ per cell
**D(E_F)**: 1.6 states/eV/cell
**Raw total energy**: -29.691 eV per atom
**DFT formation energy**: 28 kJ/mol of atoms
**Space group**: C2/m (12)

Entry 4:
Here is a PBEsol-optimized structure of AsP3Au from Alexandria via LeMat-Bulk. Energies are from meta-GGA SCAN.

POSCAR file:
```
AsP3Au
1.0
4.7192 0.0000 0.0000
0.0000 4.7192 0.0000
0.0000 0.0000 4.7192
P As Au
3 1 1
direct
0.0000 0.5000 0.0000
0.0000 0.0000 0.5000
0.5000 0.0000 0.0000
0.5000 0.5000 0.5000
0.0000 0.0000 0.0000
```

**Volume**: 105 Å³ per cell
**D(E_F)**: 4.5 states/eV/cell
**Raw total energy**: -22.802 eV per atom
**DFT formation energy**: 126 kJ/mol of atoms
**Space group**: Pm-3m (221)

Entry 5:
Here is a PBEsol-optimized structure of AsPRuAu2 from Alexandria via LeMat-Bulk. Energies are from meta-GGA SCAN.

POSCAR file:
```
AsPRuAu2
1.0
4.3492 0.0000 0.0000
0.0000 4.6342 0.0000
0.0000 0.0000 4.6342
Ru As Au P
1 1 2 1
direct
0.5000 0.0000 0.0000
0.5000 0.5000 0.5000
0.0000 0.0000 0.5000
0.0000 0.5000 0.0000
0.0000 0.0000 0.0000
```

**Volume**: 93 Å³ per cell
**D(E_F)**: 3.5 states/eV/cell
**Raw total energy**: -40.080 eV per atom
**DFT formation energy**: 64 kJ/mol of atoms
**Space group**: P4/mmm (123)

Entry 6:
Here is a PBEsol-optimized structure of SnAsPAu2 from Alexandria via LeMat-Bulk. Energies are from meta-GGA SCAN.

POSCAR file:
```
SnAsPAu2
1.0
5.0464 0.0000 0.0000
0.0000 5.0277 0.0000
0.0000 0.0000 5.0277
P As Au Sn
1 1 2 1
direct
0.5000 0.0000 0.0000
0.5000 0.5000 0.5000
0.0000 0.0000 0.5000
0.0000 0.5000 0.0000
0.0000 0.0000 0.0000
```

**Volume**: 128 Å³ per cell
**D(E_F)**: 3.6 states/eV/cell
**Raw total energy**: -39.853 eV per atom
**DFT formation energy**: 107 kJ/mol of atoms
**Space group**: P4/mmm (123)

Entry 7:
Here is a PBEsol-optimized structure of As4PbAu from Alexandria via LeMat-Bulk. Energies are from meta-GGA SCAN.

POSCAR file:
```
As4PbAu
1.0
5.6109 0.0000 0.0000
2.8055 4.8592 0.0000
2.8055 1.6197 4.5813
Pb As Au
1 4 1
direct
0.0000 0.0000 0.0000
0.3785 0.3785 0.3785
0.3785 0.3785 0.8644
0.8644 0.3785 0.3785
0.3785 0.8644 0.3785
0.7500 0.7500 0.7500
```

**Volume**: 125 Å³ per cell
**D(E_F)**: 1.6 states/eV/cell
**Raw total energy**: -37.205 eV per atom
**DFT formation energy**: 40 kJ/mol of atoms
**Space group**: F-43m (216)

Entry 8:
Here is a PBEsol-optimized structure of SbAsPbAu2 from Alexandria via LeMat-Bulk. Energies are from meta-GGA SCAN.

POSCAR file:
```
SbAsPbAu2
1.0
-3.8211 1.0514 -2.6819
-2.2022 -3.9382 1.5937
-2.2180 2.9941 4.3340
Pb Sb As Au
1 1 1 2
direct
0.0000 0.0000 0.5000
0.5000 0.5000 0.5000
0.0000 0.0000 0.0000
0.0000 0.5000 0.0000
0.5000 0.0000 0.0000
```

**Formation energy without anion corrections**: 0.367 eV/atom
**Volume**: 131 Å³ per cell
**D(E_F)**: 3.6 states/eV/cell
**Raw total energy**: -53.943 eV per atom
**Space group**: P4/mmm (123)

Entry 9:
Here is a PBEsol-optimized structure of AsPbAuSe2 from Alexandria via LeMat-Bulk. Energies are from meta-GGA SCAN.

POSCAR file:
```
AsPbAuSe2
1.0
4.8423 0.0000 0.0000
0.0000 5.1289 0.0000
0.0000 0.0000 5.1289
Pb As Au Se
1 1 1 2
direct
0.5000 0.5000 0.5000
0.5000 0.0000 0.0000
0.0000 0.0000 0.0000
0.0000 0.0000 0.5000
0.0000 0.5000 0.0000
```

**Formation energy without anion corrections**: 0.321 eV/atom
**Volume**: 127 Å³ per cell
**D(E_F)**: 4.2 states/eV/cell
**Raw total energy**: -40.736 eV per atom
**Space group**: P4/mmm (123)

Entry 10:
Here is a PBEsol-optimized structure of AsPtAu2 from Alexandria via LeMat-Bulk. Energies are from meta-GGA SCAN.

POSCAR file:
```
AsPtAu2
1.0
-1.7421 -2.7113 -0.5156
-0.6303 -0.4126 4.2993
-3.0211 4.1585 -1.3304
As Au Pt
1 2 1
direct
0.2013 0.7617 0.4025
0.9726 0.9473 0.9452
0.7913 0.3238 0.5826
0.5349 0.4672 0.0697
```

**Volume**: 70 Å³ per cell
**D(E_F)**: 1.6 states/eV/cell
**Raw total energy**: -57.174 eV per atom
**DFT formation energy**: 0 kJ/mol of atoms
**Space group**: Cm (8)

Entry 11:
Here is a PBEsol-optimized structure of TlAsPt2Au from Alexandria via LeMat-Bulk. Energies are from meta-GGA SCAN.

POSCAR file:
```
TlAsPt2Au
1.0
-0.1745 4.7731 1.3503
-3.4552 -1.0864 3.3938
3.5747 -0.8242 3.3755
Tl Au As Pt
1 1 1 2
direct
0.0000 0.0000 0.0000
0.0000 0.0000 0.5000
0.5000 0.5000 0.5000
0.0000 0.5000 0.0000
0.5000 0.0000 0.0000
```

**Volume**: 123 Å³ per cell
**D(E_F)**: 3.3 states/eV/cell
**Raw total energy**: -58.977 eV per atom
**DFT formation energy**: 139 kJ/mol of atoms
**Space group**: P4/mmm (123)

Entry 12:
Here is a PBEsol-optimized structure of Zn2AsPtAu from Alexandria via LeMat-Bulk. Energies are from meta-GGA SCAN.

POSCAR file:
```
Zn2AsPtAu
1.0
4.6380 0.0000 0.0000
0.0000 4.6112 0.0000
0.0000 0.0000 4.6112
As Au Zn Pt
1 1 2 1
direct
0.0000 0.0000 0.0000
0.5000 0.5000 0.5000
0.0000 0.0000 0.5000
0.0000 0.5000 0.0000
0.5000 0.0000 0.0000
```

**Volume**: 99 Å³ per cell
**D(E_F)**: 1.6 states/eV/cell
**Raw total energy**: -36.842 eV per atom
**DFT formation energy**: 46 kJ/mol of atoms
**Space group**: P4/mmm (123)

Repeat the first record exactly.
Here is a PBEsol-optimized structure of As2PAu from Alexandria via LeMat-Bulk. Energies are from meta-GGA SCAN.

POSCAR file:
```
As2PAu
1.0
2.8442 0.0018 0.0032
-0.9088 5.2606 0.0061
-0.9088 -2.5869 4.5806
As Au P
2 1 1
direct
0.0000 0.0000 0.5000
0.0000 0.5000 0.0000
0.5000 0.5000 0.5000
0.5000 0.0000 0.0000
```

**Volume**: 69 Å³ per cell
**D(E_F)**: 2.1 states/eV/cell
**Raw total energy**: -29.434 eV per atom
**DFT formation energy**: 53 kJ/mol of atoms
**Space group**: C2/m (12)

- What is the formula in the fifth record?
  AsPRuAu2

- Among the records above, which one has the highest raw total energy?
  AsP3Au

- The lowest volume belongs to which entry?
  number 1